No. 1
{"formula": "YNi4Sn12", "functional": "GGA-PBE", "state": "relaxed", "magmom_total_mub_per_fu": 0.000, "ef_ev_per_atom": -0.19, "spacegroup": "Im-3 (204)", "lattice": [[0.840, -1.734, -7.766], [5.288, -4.228, 4.264], [-7.418, -1.851, 2.359]], "species": ["Sn", "Sn", "Sn", "Sn", "Sn", "Sn", "Sn", "Sn", "Sn", "Sn", "Sn", "Sn", "Ni", "Ni", "Ni", "Ni", "Y"], "frac_coords": [[0.834, 0.665, 0.499], [0.834, 0.335, 0.168], [0.335, 0.501, 0.166], [0.501, 0.166, 0.335], [0.499, 0.834, 0.665], [0.166, 0.665, 0.832], [0.665, 0.499, 0.834], [0.832, 0.166, 0.665], [0.665, 0.832, 0.166], [0.166, 0.335, 0.501], [0.168, 0.834, 0.335], [0.335, 0.168, 0.834], [0.000, 0.000, 0.500], [0.500, 0.000, 0.000], [0.500, 0.500, 0.500], [0.000, 0.500, 0.000], [0.000, 0.000, 0.000]]}


No. 2
{"formula": "Y4NiSn8", "functional": "GGA-PBE", "state": "relaxed", "magmom_total_mub_per_fu": 0.000, "ef_ev_per_atom": -0.59, "spacegroup": "Pmm2 (25)", "lattice": [[-2.728, 1.789, -3.007], [-1.445, -4.019, -1.080], [-12.083, 1.205, 11.680]], "species": ["Sn", "Sn", "Sn", "Sn", "Sn", "Sn", "Sn", "Sn", "Y", "Y", "Y", "Y", "Ni"], "frac_coords": [[0.500, 0.500, 0.246], [0.500, 0.000, 0.068], [0.000, 0.000, 0.543], [0.000, 0.500, 0.764], [0.000, 0.000, 0.249], [0.000, 0.500, 0.425], [0.500, 0.500, 0.945], [0.500, 0.000, 0.763], [0.500, 0.000, 0.395], [0.500, 0.500, 0.604], [0.000, 0.500, 0.101], [0.000, 0.000, 0.904], [0.000, 0.000, 0.689]]}


No. 3
{"formula": "Y2NiSn", "functional": "GGA-PBE", "state": "relaxed", "magmom_total_mub_per_fu": 0.000, "ef_ev_per_atom": -0.51, "spacegroup": "P4/mmm (123)", "lattice": [[3.492, 0.000, 0.000], [0.000, 3.492, 0.000], [0.000, 0.000, 7.606]], "species": ["Y", "Y", "Sn", "Ni"], "frac_coords": [[0.000, 0.000, 0.215], [0.000, 0.000, 0.785], [0.500, 0.500, 0.500], [0.500, 0.500, 0.000]]}


No. 4
{"formula": "YNi2Sn2", "functional": "GGA-PBE", "state": "relaxed", "magmom_total_mub_per_fu": 0.476, "ef_ev_per_atom": -0.16, "spacegroup": "P4/mbm (127)", "lattice": [[7.879, 0.000, 0.000], [0.000, 7.879, 0.000], [0.000, 0.000, 3.050]], "species": ["Sn", "Sn", "Sn", "Sn", "Ni", "Ni", "Ni", "Ni", "Y", "Y"], "frac_coords": [[0.360, 0.860, 0.000], [0.640, 0.140, 0.000], [0.860, 0.640, 0.000], [0.140, 0.360, 0.000], [0.653, 0.847, 0.500], [0.847, 0.347, 0.500], [0.347, 0.153, 0.500], [0.153, 0.653, 0.500], [0.500, 0.500, 0.000], [0.000, 0.000, 0.000]]}


No. 5
{"formula": "YNiSn3", "functional": "GGA-PBE", "state": "relaxed", "magmom_total_mub_per_fu": 0.000, "ef_ev_per_atom": -0.44, "spacegroup": "Pbcm (57)", "lattice": [[-0.789, -4.894, -3.426], [5.186, -2.389, 2.219], [-6.411, -5.392, 9.179]], "species": ["Sn", "Sn", "Sn", "Sn", "Sn", "Sn", "Sn", "Sn", "Sn", "Sn", "Sn", "Sn", "Ni", "Ni", "Ni", "Ni", "Y", "Y", "Y", "Y"], "frac_coords": [[0.750, 0.908, 0.052], [0.750, 0.019, 0.777], [0.500, 0.250, 0.503], [0.250, 0.092, 0.948], [0.250, 0.592, 0.052], [0.750, 0.408, 0.948], [0.000, 0.750, 0.497], [0.750, 0.519, 0.223], [0.000, 0.250, 0.503], [0.250, 0.481, 0.777], [0.500, 0.750, 0.497], [0.250, 0.981, 0.223], [0.000, 0.750, 0.891], [0.000, 0.250, 0.109], [0.500, 0.250, 0.109], [0.500, 0.750, 0.891], [0.750, 0.514, 0.699], [0.250, 0.486, 0.301], [0.250, 0.986, 0.699], [0.750, 0.014, 0.301]]}


No. 6
{"formula": "Y2Ni2Sn", "functional": "GGA-PBE", "state": "relaxed", "magmom_total_mub_per_fu": 0.000, "ef_ev_per_atom": -0.38, "spacegroup": "I4/mmm (139)", "lattice": [[-0.317, -1.148, 5.208], [4.802, -2.330, -0.221], [3.888, 1.574, 3.323]], "species": ["Ni", "Ni", "Y", "Y", "Sn"], "frac_coords": [[0.352, 0.352, 0.296], [0.648, 0.648, 0.704], [0.250, 0.750, 0.500], [0.750, 0.250, 0.500], [0.000, 0.000, 0.000]]}


No. 7
{"formula": "Y2NiSn", "functional": "GGA-PBE", "state": "relaxed", "magmom_total_mub_per_fu": 0.000, "ef_ev_per_atom": 0.23, "spacegroup": "I-42d (122)", "lattice": [[-0.970, -0.666, 4.477], [3.448, -3.075, 0.290], [7.554, 5.443, 4.839]], "species": ["Y", "Y", "Y", "Y", "Ni", "Ni", "Sn", "Sn"], "frac_coords": [[0.132, 0.625, 0.250], [0.375, 0.382, 0.750], [0.875, 0.868, 0.750], [0.618, 0.125, 0.250], [0.250, 0.750, 0.500], [0.500, 0.500, 0.000], [0.000, 0.000, 0.000], [0.750, 0.250, 0.500]]}


No. 8
{"formula": "YNi3Sn2", "functional": "GGA-PBE", "state": "relaxed", "magmom_total_mub_per_fu": 0.000, "ef_ev_per_atom": -0.45, "spacegroup": "P-62m (189)", "lattice": [[4.648, -8.051, 0.000], [4.648, 8.051, 0.000], [0.000, 0.000, 4.258]], "species": ["Ni", "Ni", "Ni", "Ni", "Ni", "Ni", "Ni", "Ni", "Ni", "Sn", "Sn", "Sn", "Sn", "Sn", "Sn", "Y", "Y", "Y"], "frac_coords": [[0.706, 0.000, 0.500], [0.625, 0.792, 0.000], [0.000, 0.706, 0.500], [0.375, 0.167, 0.000], [0.792, 0.625, 0.000], [0.833, 0.208, 0.000], [0.294, 0.294, 0.500], [0.167, 0.375, 0.000], [0.208, 0.833, 0.000], [0.000, 0.256, 0.500], [0.256, 0.000, 0.500], [0.744, 0.744, 0.500], [0.470, 0.470, 0.000], [0.000, 0.530, 0.000], [0.530, 0.000, 0.000], [0.000, 0.000, 0.000], [0.667, 0.333, 0.500], [0.333, 0.667, 0.500]]}


No. 9
{"formula": "YNiSn4", "functional": "GGA-PBE", "state": "relaxed", "magmom_total_mub_per_fu": 0.000, "ef_ev_per_atom": -0.36, "spacegroup": "Cmmm (65)", "lattice": [[4.358, 0.000, -0.677], [0.000, 4.495, 0.000], [0.028, 0.000, 14.548]], "species": ["Sn", "Sn", "Sn", "Sn", "Sn", "Sn", "Sn", "Sn", "Ni", "Ni", "Y", "Y"], "frac_coords": [[0.891, 0.000, 0.782], [0.392, 0.500, 0.784], [0.286, 0.000, 0.571], [0.109, 0.000, 0.218], [0.714, 0.000, 0.429], [0.000, 0.000, 0.000], [0.608, 0.500, 0.216], [0.500, 0.500, 0.000], [0.552, 0.000, 0.104], [0.448, 0.000, 0.896], [0.193, 0.500, 0.386], [0.807, 0.500, 0.614]]}


No. 10
{"formula": "YNi2Sn2", "functional": "GGA-PBE", "state": "relaxed", "magmom_total_mub_per_fu": 0.000, "ef_ev_per_atom": -0.29, "spacegroup": "P4/mbm (127)", "lattice": [[-1.888, 3.757, -6.146], [-1.383, -6.424, -3.502], [-3.248, 0.117, 1.069]], "species": ["Y", "Y", "Sn", "Sn", "Sn", "Sn", "Ni", "Ni", "Ni", "Ni"], "frac_coords": [[0.500, 0.500, 0.000], [0.000, 0.000, 0.000], [0.833, 0.333, 0.500], [0.667, 0.833, 0.500], [0.333, 0.167, 0.500], [0.167, 0.667, 0.500], [0.881, 0.619, 0.000], [0.119, 0.381, 0.000], [0.619, 0.119, 0.000], [0.381, 0.881, 0.000]]}


No. 11
{"formula": "YNiSn3", "functional": "GGA-PBE", "state": "relaxed", "magmom_total_mub_per_fu": 0.000, "ef_ev_per_atom": 1.09, "spacegroup": "Pm-3m (221)", "lattice": [[5.716, 0.000, 0.000], [0.000, 5.716, 0.000], [0.000, 0.000, 5.716]], "species": ["Sn", "Sn", "Sn", "Ni", "Y"], "frac_coords": [[0.500, 0.000, 0.000], [0.000, 0.000, 0.500], [0.000, 0.500, 0.000], [0.500, 0.500, 0.500], [0.000, 0.000, 0.000]]}


No. 12
{"formula": "YNiSn6", "functional": "GGA-PBE", "state": "relaxed", "magmom_total_mub_per_fu": 0.000, "ef_ev_per_atom": -0.16, "spacegroup": "C2/m (12)", "lattice": [[-4.912, 2.006, -3.283], [-0.884, -1.887, 5.881], [4.070, 5.483, 0.540]], "species": ["Sn", "Sn", "Sn", "Sn", "Sn", "Sn", "Y", "Ni"], "frac_coords": [[0.594, 0.146, 0.252], [0.146, 0.594, 0.252], [0.854, 0.406, 0.748], [0.274, 0.274, 0.715], [0.406, 0.854, 0.748], [0.726, 0.726, 0.285], [0.000, 0.000, 0.000], [0.500, 0.500, 0.500]]}


No. 13
{"formula": "YNiSn2", "functional": "GGA-PBE", "state": "relaxed", "magmom_total_mub_per_fu": 0.000, "ef_ev_per_atom": -0.14, "spacegroup": "Fm-3m (225)", "lattice": [[-0.260, -3.539, 3.508], [-4.171, -0.553, 2.681], [-2.904, -3.997, -0.699]], "species": ["Sn", "Sn", "Ni", "Y"], "frac_coords": [[0.250, 0.250, 0.250], [0.750, 0.750, 0.750], [0.000, 0.000, 0.000], [0.500, 0.500, 0.500]]}


No. 14
{"formula": "YNi9Sn2", "functional": "GGA-PBE", "state": "relaxed", "magmom_total_mub_per_fu": 0.000, "ef_ev_per_atom": -0.24, "spacegroup": "P4/mbm (127)", "polymorph_energy_kj_per_mol_atoms": 0.00, "lattice": [[4.882, 0.000, 0.000], [0.000, 8.213, 0.000], [0.000, 0.000, 8.213]], "species": ["Ni", "Ni", "Ni", "Ni", "Ni", "Ni", "Ni", "Ni", "Ni", "Ni", "Ni", "Ni", "Ni", "Ni", "Ni", "Ni", "Ni", "Ni", "Sn", "Sn", "Sn", "Sn", "Y", "Y"], "frac_coords": [[0.754, 0.826, 0.326], [0.754, 0.174, 0.674], [0.754, 0.674, 0.826], [0.500, 0.066, 0.205], [0.754, 0.326, 0.174], [0.500, 0.205, 0.934], [0.500, 0.434, 0.705], [0.246, 0.826, 0.326], [0.500, 0.566, 0.295], [0.246, 0.174, 0.674], [0.500, 0.934, 0.795], [0.500, 0.795, 0.066], [0.246, 0.674, 0.826], [0.246, 0.326, 0.174], [0.500, 0.000, 0.500], [0.500, 0.705, 0.566], [0.500, 0.500, 0.000], [0.500, 0.295, 0.434], [0.000, 0.872, 0.628], [0.000, 0.372, 0.872], [0.000, 0.628, 0.128], [0.000, 0.128, 0.372], [0.000, 0.000, 0.000], [0.000, 0.500, 0.500]]}


No. 15
{"formula": "YNiSn2", "functional": "GGA-PBE", "state": "relaxed", "magmom_total_mub_per_fu": 0.000, "ef_ev_per_atom": -0.09, "spacegroup": "I-42d (122)", "lattice": [[4.746, 0.000, 0.000], [0.000, 4.746, 0.000], [2.373, 2.373, 9.082]], "species": ["Ni", "Ni", "Sn", "Sn", "Sn", "Sn", "Y", "Y"], "frac_coords": [[0.250, 0.750, 0.500], [0.500, 0.500, 0.000], [0.375, 0.460, 0.750], [0.875, 0.790, 0.750], [0.540, 0.125, 0.250], [0.210, 0.625, 0.250], [0.000, 0.000, 0.000], [0.750, 0.250, 0.500]]}


No. 16
{"formula": "YNi6Sn6", "functional": "GGA-PBE", "state": "relaxed", "magmom_total_mub_per_fu": 0.000, "ef_ev_per_atom": -0.31, "spacegroup": "Immm (71)", "lattice": [[5.462, 0.000, 0.000], [2.731, 6.385, 0.189], [2.731, 0.342, 6.379]], "species": ["Sn", "Sn", "Sn", "Sn", "Sn", "Sn", "Ni", "Ni", "Ni", "Ni", "Ni", "Ni", "Y"], "frac_coords": [[0.000, 0.663, 0.337], [0.336, 0.664, 0.664], [0.332, 0.168, 0.168], [0.664, 0.336, 0.336], [0.668, 0.832, 0.832], [0.000, 0.337, 0.663], [0.500, 0.000, 0.500], [0.000, 0.000, 0.500], [0.000, 0.500, 0.000], [0.500, 0.250, 0.750], [0.500, 0.500, 0.000], [0.500, 0.750, 0.250], [0.000, 0.000, 0.000]]}


No. 17
{"formula": "YNiSn2", "functional": "GGA-PBE", "state": "relaxed", "magmom_total_mub_per_fu": 0.000, "ef_ev_per_atom": -0.55, "spacegroup": "Immm (71)", "lattice": [[4.333, 0.000, -1.007], [-1.019, 8.060, -4.386], [0.044, 0.171, 10.020]], "species": ["Sn", "Sn", "Sn", "Sn", "Sn", "Sn", "Sn", "Sn", "Ni", "Ni", "Ni", "Ni", "Y", "Y", "Y", "Y"], "frac_coords": [[0.303, 0.967, 0.606], [0.697, 0.033, 0.394], [0.916, 0.916, 0.833], [0.303, 0.640, 0.606], [0.084, 0.084, 0.167], [0.081, 0.581, 0.161], [0.697, 0.360, 0.394], [0.919, 0.419, 0.839], [0.147, 0.894, 0.295], [0.853, 0.106, 0.705], [0.853, 0.599, 0.705], [0.147, 0.401, 0.295], [0.296, 0.296, 0.591], [0.500, 0.734, 0.000], [0.500, 0.266, 0.000], [0.704, 0.704, 0.409]]}


No. 18
{"formula": "Y2NiSn2", "functional": "GGA-PBE", "state": "relaxed", "magmom_total_mub_per_fu": 0.001, "ef_ev_per_atom": -0.70, "spacegroup": "C2/m (12)", "lattice": [[4.450, 0.000, 0.000], [2.225, 5.463, -0.245], [2.225, -0.105, 9.694]], "species": ["Y", "Y", "Y", "Y", "Ni", "Ni", "Sn", "Sn", "Sn", "Sn"], "frac_coords": [[0.331, 0.671, 0.668], [0.669, 0.329, 0.332], [0.069, 0.747, 0.115], [0.931, 0.253, 0.885], [0.380, 0.903, 0.337], [0.620, 0.097, 0.663], [0.900, 0.761, 0.439], [0.100, 0.239, 0.561], [0.649, 0.825, 0.877], [0.351, 0.175, 0.123]]}


No. 19
{"formula": "Y3NiSn2", "functional": "GGA-PBE", "state": "relaxed", "magmom_total_mub_per_fu": 0.001, "ef_ev_per_atom": -0.70, "spacegroup": "Pnma (62)", "lattice": [[-0.077, 2.644, -3.487], [-10.848, 3.402, 2.819], [4.533, 8.928, 6.670]], "species": ["Sn", "Sn", "Sn", "Sn", "Sn", "Sn", "Sn", "Sn", "Y", "Y", "Y", "Y", "Y", "Y", "Y", "Y", "Y", "Y", "Y", "Y", "Ni", "Ni", "Ni", "Ni"], "frac_coords": [[0.750, 0.503, 0.192], [0.250, 0.497, 0.808], [0.250, 0.003, 0.308], [0.250, 0.812, 0.989], [0.250, 0.688, 0.489], [0.750, 0.312, 0.511], [0.750, 0.997, 0.692], [0.750, 0.188, 0.011], [0.250, 0.446, 0.380], [0.750, 0.204, 0.270], [0.250, 0.128, 0.555], [0.750, 0.872, 0.445], [0.750, 0.296, 0.770], [0.750, 0.628, 0.945], [0.250, 0.796, 0.730], [0.750, 0.946, 0.120], [0.250, 0.054, 0.880], [0.750, 0.554, 0.620], [0.250, 0.704, 0.230], [0.250, 0.372, 0.055], [0.250, 0.134, 0.128], [0.750, 0.634, 0.372], [0.750, 0.866, 0.872], [0.250, 0.366, 0.628]]}


No. 20
{"formula": "Y2Ni2Sn", "functional": "GGA-PBE", "state": "relaxed", "magmom_total_mub_per_fu": 0.000, "ef_ev_per_atom": -0.59, "spacegroup": "Immm (71)", "lattice": [[-2.658, 3.267, -0.710], [-2.320, 1.901, 4.586], [1.859, 4.743, 2.020]], "species": ["Ni", "Ni", "Y", "Y", "Sn"], "frac_coords": [[0.500, 0.289, 0.711], [0.500, 0.711, 0.289], [0.203, 0.297, 0.297], [0.797, 0.703, 0.703], [0.000, 0.000, 0.000]]}


No. 21
{"formula": "YNi3Sn3", "functional": "GGA-PBE", "state": "relaxed", "magmom_total_mub_per_fu": 0.000, "ef_ev_per_atom": 0.11, "spacegroup": "Pm-3n (223)", "lattice": [[6.888, 0.000, 0.000], [0.000, 6.888, 0.000], [0.000, 0.000, 6.888]], "species": ["Sn", "Sn", "Sn", "Sn", "Sn", "Sn", "Ni", "Ni", "Ni", "Ni", "Ni", "Ni", "Y", "Y"], "frac_coords": [[0.000, 0.750, 0.500], [0.500, 0.000, 0.750], [0.750, 0.500, 0.000], [0.000, 0.250, 0.500], [0.250, 0.500, 0.000], [0.500, 0.000, 0.250], [0.000, 0.500, 0.750], [0.000, 0.500, 0.250], [0.500, 0.750, 0.000], [0.750, 0.000, 0.500], [0.500, 0.250, 0.000], [0.250, 0.000, 0.500], [0.000, 0.000, 0.000], [0.500, 0.500, 0.500]]}